Material: ZrSiTcNi
Method: DFT, GGA-PBE
State: optimized geometry

## Properties
Its space group is F-43m. As for the total DFT energy (no corrections): -7.865 eV per atom.

```
ZrSiTcNi
1.0
0.000 3.087 3.087
3.087 0.000 3.087
3.087 3.087 0.000
Zr Si Tc Ni
1 1 1 1
direct
0.000 0.000 0.000 Zr
0.500 0.500 0.500 Si
0.250 0.250 0.250 Tc
0.750 0.750 0.750 Ni
```

=====

Material: SiNi4Te3
Method: DFT, GGA-PBE
State: optimized geometry

## Properties
Its space group is Pm. As for the total DFT energy (no corrections): -4.792 eV per atom.

```
SiNi4Te3
1.0
5.856 0.000 0.000
0.000 3.654 0.000
-1.467 0.000 6.527
Si Ni Te
1 4 3
direct
0.000 0.000 0.000 Si
0.185 0.000 0.742 Ni
0.424 0.000 0.124 Ni
0.837 0.500 0.143 Ni
0.876 0.500 0.768 Ni
0.265 0.500 0.322 Te
0.477 0.500 0.846 Te
0.812 0.000 0.468 Te
```

=====

Material: Si3Ni4Te
Method: DFT, GGA-PBE
State: optimized geometry

## Properties
Its space group is Pm. As for the total DFT energy (no corrections): -5.497 eV per atom.

```
Si3Ni4Te
1.0
5.496 0.000 0.000
0.000 3.521 0.000
-0.079 0.000 5.594
Si Ni Te
3 4 1
direct
0.000 0.000 0.000 Si
0.119 0.500 0.455 Si
0.648 0.500 0.156 Si
0.287 0.500 0.931 Ni
0.322 0.000 0.267 Ni
0.837 0.000 0.376 Ni
0.852 0.500 0.768 Ni
0.505 0.000 0.680 Te
```

=====

Material: Si2NiTe
Method: DFT, GGA-PBE
State: optimized geometry

## Properties
Its space group is F-43m. As for the total DFT energy (no corrections): -4.343 eV per atom.

```
Si2NiTe
1.0
0.000 3.221 3.221
3.221 0.000 3.221
3.221 3.221 0.000
Si Ni Te
2 1 1
direct
0.000 0.000 0.000 Si
0.250 0.250 0.250 Si
0.500 0.500 0.500 Ni
0.750 0.750 0.750 Te
```

=====

Material: TlSi5Ni3
Method: DFT, GGA-PBE
State: optimized geometry

## Properties
Its space group is P6/mmm. As for the total DFT energy (no corrections): -5.159 eV per atom.

```
TlSi5Ni3
1.0
4.949 0.000 0.000
-2.475 4.286 0.000
0.000 0.000 6.180
Tl Si Ni
1 5 3
direct
0.000 0.000 0.000 Tl
0.000 0.000 0.500 Si
0.333 0.667 0.196 Si
0.333 0.667 0.804 Si
0.667 0.333 0.196 Si
0.667 0.333 0.804 Si
0.000 0.500 0.500 Ni
0.500 0.000 0.500 Ni
0.500 0.500 0.500 Ni
```

=====

Material: TmSiNi2
Method: DFT, GGA-PBE
State: optimized geometry

## Properties
Its space group is Pmc2_1. As for the total DFT energy (no corrections): -5.764 eV per atom.

```
TmSiNi2
1.0
4.219 0.000 0.000
0.000 4.401 0.000
0.000 0.000 6.784
Tm Si Ni
2 2 4
direct
0.000 0.061 0.000 Tm
0.000 0.939 0.500 Tm
0.500 0.304 0.671 Si
0.500 0.696 0.171 Si
0.000 0.496 0.748 Ni
0.000 0.504 0.248 Ni
0.500 0.210 0.308 Ni
0.500 0.790 0.808 Ni
```

=====

Material: Tm6Si2Ni
Method: DFT, GGA-PBE
State: optimized geometry

## Properties
Its space group is P-62m. As for the total DFT energy (no corrections): -5.263 eV per atom.

```
Tm6Si2Ni
1.0
7.679 0.000 0.000
-3.839 6.650 0.000
0.000 0.000 4.115
Tm Si Ni
6 2 1
direct
0.000 0.253 0.000 Tm
0.000 0.594 0.500 Tm
0.253 0.000 0.000 Tm
0.406 0.406 0.500 Tm
0.594 0.000 0.500 Tm
0.747 0.747 0.000 Tm
0.333 0.667 0.000 Si
0.667 0.333 0.000 Si
0.000 0.000 0.500 Ni
```

=====

Material: TmSi2Ni4
Method: DFT, GGA-PBE
State: optimized geometry

## Properties
Its space group is P4_2/mnm. As for the total DFT energy (no corrections): -6.053 eV per atom.

```
TmSi2Ni4
1.0
7.159 0.000 0.000
0.000 7.159 0.000
0.000 0.000 3.611
Tm Si Ni
2 4 8
direct
0.000 0.000 0.000 Tm
0.500 0.500 0.500 Tm
0.222 0.222 0.500 Si
0.278 0.722 0.000 Si
0.722 0.278 0.000 Si
0.778 0.778 0.500 Si
0.083 0.664 0.500 Ni
0.164 0.417 0.000 Ni
0.336 0.917 0.500 Ni
0.417 0.164 0.000 Ni
0.583 0.836 0.000 Ni
0.664 0.083 0.500 Ni
0.836 0.583 0.000 Ni
0.917 0.336 0.500 Ni
```

=====

Material: TmSi3Ni4
Method: DFT, GGA-PBE
State: optimized geometry

## Properties
Its space group is Pm. As for the total DFT energy (no corrections): -5.895 eV per atom.

```
TmSi3Ni4
1.0
4.961 0.000 0.000
0.000 3.873 0.000
-0.683 0.000 5.637
Tm Si Ni
1 3 4
direct
0.000 0.000 0.000 Tm
0.151 0.000 0.486 Si
0.485 0.500 0.093 Si
0.687 0.500 0.658 Si
0.192 0.500 0.726 Ni
0.496 0.000 0.798 Ni
0.581 0.000 0.336 Ni
0.917 0.500 0.337 Ni
```

=====

Material: TmSiNi2
Method: DFT, GGA-PBE
State: optimized geometry

## Properties
Its space group is Pmn2_1. As for the total DFT energy (no corrections): -5.886 eV per atom.

```
TmSiNi2
1.0
3.910 0.000 0.000
0.000 5.790 0.000
0.000 0.000 5.317
Tm Si Ni
2 2 4
direct
0.000 0.090 0.000 Tm
0.500 0.910 0.500 Tm
0.000 0.602 0.222 Si
0.500 0.398 0.722 Si
0.000 0.280 0.505 Ni
0.000 0.644 0.737 Ni
0.500 0.356 0.237 Ni
0.500 0.720 0.005 Ni
```

=====

Material: Tm3Si3Ni
Method: DFT, GGA-PBE
State: optimized geometry

## Properties
Its space group is C2/m. As for the total DFT energy (no corrections): -5.871 eV per atom.

```
Tm3Si3Ni
1.0
5.106 -2.071 0.000
5.106 2.071 0.000
-4.684 0.000 12.528
Tm Si Ni
6 6 2
direct
0.030 0.030 0.380 Tm
0.102 0.102 0.921 Tm
0.247 0.247 0.228 Tm
0.753 0.753 0.772 Tm
0.898 0.898 0.079 Tm
0.970 0.970 0.620 Tm
0.364 0.364 0.457 Si
0.386 0.386 0.924 Si
0.455 0.455 0.764 Si
0.545 0.545 0.236 Si
0.614 0.614 0.076 Si
0.636 0.636 0.543 Si
0.253 0.253 0.597 Ni
0.747 0.747 0.403 Ni
```

=====

Material: TmSi2Ni10
Method: DFT, GGA-PBE
State: optimized geometry

## Properties
Its space group is P4/nmm. As for the total DFT energy (no corrections): -5.918 eV per atom.

```
TmSi2Ni10
1.0
8.137 0.000 0.000
0.000 8.137 0.000
0.000 0.000 4.656
Tm Si Ni
2 4 20
direct
0.250 0.250 0.222 Tm
0.750 0.750 0.778 Tm
0.000 0.000 0.500 Si
0.000 0.500 0.500 Si
0.500 0.000 0.500 Si
0.500 0.500 0.500 Si
0.000 0.000 0.000 Ni
0.000 0.500 0.000 Ni
0.028 0.250 0.730 Ni
0.102 0.750 0.760 Ni
0.250 0.028 0.730 Ni
0.250 0.472 0.730 Ni
0.250 0.602 0.240 Ni
0.250 0.898 0.240 Ni
0.398 0.750 0.760 Ni
0.472 0.250 0.730 Ni
0.500 0.000 0.000 Ni
0.500 0.500 0.000 Ni
0.528 0.750 0.270 Ni
0.602 0.250 0.240 Ni
0.750 0.102 0.760 Ni
0.750 0.398 0.760 Ni
0.750 0.528 0.270 Ni
0.750 0.972 0.270 Ni
0.898 0.250 0.240 Ni
0.972 0.750 0.270 Ni
```

=====

Material: TmSiNi2
Method: DFT, GGA-PBE
State: optimized geometry

## Properties
Its space group is P2_1/m. As for the total DFT energy (no corrections): -5.956 eV per atom.

```
TmSiNi2
1.0
5.073 0.000 0.000
0.000 3.977 0.000
-1.964 0.000 6.152
Tm Si Ni
2 2 4
direct
0.249 0.250 0.250 Tm
0.751 0.750 0.750 Tm
0.249 0.250 0.750 Si
0.751 0.750 0.250 Si
0.155 0.750 0.548 Ni
0.345 0.750 0.952 Ni
0.655 0.250 0.048 Ni
0.845 0.250 0.452 Ni
```

=====

Material: Tm3Si3Ni2
Method: DFT, GGA-PBE
State: optimized geometry

## Properties
Its space group is Cmcm. As for the total DFT energy (no corrections): -5.951 eV per atom.

```
Tm3Si3Ni2
1.0
2.054 -4.992 0.000
2.054 4.992 0.000
0.000 0.000 13.683
Tm Si Ni
6 6 4
direct
0.088 0.912 0.610 Tm
0.088 0.912 0.890 Tm
0.369 0.631 0.750 Tm
0.631 0.369 0.250 Tm
0.912 0.088 0.110 Tm
0.912 0.088 0.390 Tm
0.331 0.669 0.250 Si
0.382 0.618 0.538 Si
0.382 0.618 0.962 Si
0.618 0.382 0.038 Si
0.618 0.382 0.462 Si
0.669 0.331 0.750 Si
0.203 0.797 0.096 Ni
0.203 0.797 0.404 Ni
0.797 0.203 0.596 Ni
0.797 0.203 0.904 Ni
```

=====

Material: Tm3SiNi4
Method: DFT, GGA-PBE
State: optimized geometry

## Properties
Its space group is Pm. As for the total DFT energy (no corrections): -5.629 eV per atom.

```
Tm3SiNi4
1.0
5.093 0.000 0.000
0.000 4.090 0.000
-0.624 0.000 6.431
Tm Si Ni
3 1 4
direct
0.000 0.000 0.000 Tm
0.190 0.000 0.493 Tm
0.692 0.500 0.622 Tm
0.448 0.500 0.155 Si
0.227 0.500 0.803 Ni
0.485 0.000 0.909 Ni
0.636 0.000 0.293 Ni
0.940 0.500 0.262 Ni
```

=====

Material: YTmSi4Ni2
Method: DFT, GGA-PBE
State: optimized geometry

## Properties
Its space group is Amm2. As for the total DFT energy (no corrections): -6.298 eV per atom.

```
YTmSi4Ni2
1.0
3.953 0.000 0.000
0.000 1.981 8.202
0.000 -1.981 8.202
Y Tm Si Ni
1 1 4 2
direct
0.000 0.000 0.000 Y
0.500 0.789 0.789 Tm
0.000 0.355 0.355 Si
0.000 0.646 0.646 Si
0.500 0.146 0.146 Si
0.500 0.434 0.434 Si
0.000 0.219 0.219 Ni
0.500 0.573 0.573 Ni
```

=====

Material: USi3Ni5
Method: DFT, GGA-PBE
State: optimized geometry

## Properties
Its space group is Pnma. As for the total DFT energy (no corrections): -6.722 eV per atom.

```
USi3Ni5
1.0
18.671 0.000 0.000
0.000 3.811 0.000
0.000 0.000 6.578
U Si Ni
4 12 20
direct
0.143 0.250 0.123 U
0.357 0.750 0.623 U
0.643 0.250 0.377 U
0.857 0.750 0.877 U
0.074 0.750 0.846 Si
0.087 0.750 0.418 Si
0.234 0.250 0.615 Si
0.266 0.750 0.115 Si
0.413 0.250 0.918 Si
0.426 0.250 0.346 Si
0.574 0.750 0.654 Si
0.587 0.750 0.082 Si
0.734 0.250 0.885 Si
0.766 0.750 0.385 Si
0.913 0.250 0.582 Si
0.926 0.250 0.154 Si
0.006 0.750 0.133 Ni
0.017 0.250 0.384 Ni
0.113 0.250 0.647 Ni
0.199 0.750 0.815 Ni
0.209 0.750 0.421 Ni
0.291 0.250 0.921 Ni
0.301 0.250 0.315 Ni
0.387 0.750 0.147 Ni
0.483 0.750 0.884 Ni
0.494 0.250 0.633 Ni
0.506 0.750 0.367 Ni
0.517 0.250 0.116 Ni
0.613 0.250 0.853 Ni
0.699 0.750 0.685 Ni
0.709 0.750 0.079 Ni
0.791 0.250 0.579 Ni
0.801 0.250 0.185 Ni
0.887 0.750 0.353 Ni
0.983 0.750 0.616 Ni
0.994 0.250 0.867 Ni
```

=====

Material: YSi3Ni5
Method: DFT, GGA-PBE
State: optimized geometry

## Properties
Its space group is Pnma. As for the total DFT energy (no corrections): -6.343 eV per atom.

```
YSi3Ni5
1.0
18.675 0.000 0.000
0.000 3.785 0.000
0.000 0.000 6.620
Y Si Ni
4 12 20
direct
0.144 0.250 0.122 Y
0.356 0.750 0.622 Y
0.644 0.250 0.378 Y
0.856 0.750 0.878 Y
0.075 0.750 0.845 Si
0.085 0.750 0.416 Si
0.237 0.250 0.621 Si
0.263 0.750 0.121 Si
0.415 0.250 0.916 Si
0.425 0.250 0.345 Si
0.575 0.750 0.655 Si
0.585 0.750 0.084 Si
0.737 0.250 0.879 Si
0.763 0.750 0.379 Si
0.915 0.250 0.584 Si
0.925 0.250 0.155 Si
0.005 0.750 0.132 Ni
0.014 0.250 0.383 Ni
0.115 0.250 0.642 Ni
0.200 0.750 0.814 Ni
0.206 0.750 0.430 Ni
0.294 0.250 0.930 Ni
0.300 0.250 0.314 Ni
0.385 0.750 0.142 Ni
0.486 0.750 0.883 Ni
0.495 0.250 0.632 Ni
0.505 0.750 0.368 Ni
0.514 0.250 0.117 Ni
0.615 0.250 0.858 Ni
0.700 0.750 0.686 Ni
0.706 0.750 0.070 Ni
0.794 0.250 0.570 Ni
0.800 0.250 0.186 Ni
0.885 0.750 0.358 Ni
0.986 0.750 0.617 Ni
0.995 0.250 0.868 Ni
```

=====

Material: YSi4Ni6
Method: DFT, GGA-PBE
State: optimized geometry

## Properties
Its space group is P-6m2. As for the total DFT energy (no corrections): -6.294 eV per atom.

```
YSi4Ni6
1.0
6.612 0.000 0.000
-3.306 5.726 0.000
0.000 0.000 3.694
Y Si Ni
1 4 6
direct
0.000 0.000 0.000 Y
0.333 0.667 0.000 Si
0.393 0.196 0.500 Si
0.804 0.196 0.500 Si
0.804 0.607 0.500 Si
0.204 0.409 0.500 Ni
0.204 0.796 0.500 Ni
0.535 0.071 0.000 Ni
0.535 0.465 0.000 Ni
0.591 0.796 0.500 Ni
0.929 0.465 0.000 Ni
```

=====

Material: YSiNi2
Method: DFT, GGA-PBE
State: optimized geometry

## Properties
Its space group is Pmc2_1. As for the total DFT energy (no corrections): -6.231 eV per atom.

```
YSiNi2
1.0
4.239 0.000 0.000
0.000 4.453 0.000
0.000 0.000 6.940
Y Si Ni
2 2 4
direct
0.000 0.068 0.000 Y
0.000 0.932 0.500 Y
0.500 0.301 0.671 Si
0.500 0.699 0.171 Si
0.000 0.493 0.746 Ni
0.000 0.507 0.246 Ni
0.500 0.221 0.311 Ni
0.500 0.779 0.811 Ni
```

=====

| no. | total moment (μB per formula unit) |
| --- | --- |
| 1 | 0.0 |
| 2 | 0.0 |
| 3 | 0.0 |
| 4 | 0.0 |
| 5 | 0.0 |
| 6 | 0.0 |
| 7 | 0.3 |
| 8 | 0.0 |
| 9 | 0.0 |
| 10 | 0.0 |
| 11 | 0.0 |
| 12 | 0.0 |
| 13 | 0.0 |
| 14 | 0.0 |
| 15 | 0.0 |
| 16 | 0.0 |
| 17 | 1.9 |
| 18 | 0.0 |
| 19 | 0.0 |
| 20 | 0.0 |